## Mo2PF (PBE+U)

Data for Mo2PF after structural relaxation.

```
8
Lattice="-3.299 3.299 3.539 3.299 -3.299 3.539 3.299 3.299 -3.539" Properties=species:S:1:pos:R:3 pbc="T T T"
Mo 4.948 1.570 -0.885
Mo 1.570 1.649 0.885
Mo -1.649 1.729 2.655
Mo 1.729 1.649 4.424
P 3.299 0.000 1.770
P 0.000 0.000 3.539
F 0.000 0.000 0.000
F 0.000 3.299 1.770
```

Properties
The value obtained for the density of states at the Fermi level is 0.0 states/eV per cell. Its calculated total energy is -5.445 eV/atom. For the spin magnetization, the calculation gives 8.00 μB/f.u. As for the energy above the most stable polymorph in this dataset: 0 meV/atom. The space group is I-42d (122).